Li2CuF6 | PBE | relaxed

Energy relative to the elements, uncorrected: -1.9351 eV per atom
Energy relative to the lowest polymorph listed for this composition: 13 meV/atom

POSCAR file:
```
Li2CuF6
1.0
4.6537 0.0000 0.0000
0.0000 4.6537 0.0000
0.0000 0.0000 8.9032
Li Cu F
4 2 12
Direct
0.0000 0.0000 0.1629
0.0000 0.0000 0.8371
0.5000 0.5000 0.3371
0.5000 0.5000 0.6629
0.0000 0.0000 0.5000
0.5000 0.5000 0.0000
0.1879 0.1879 0.3453
0.1879 0.1879 0.6547
0.2127 0.2127 0.0000
0.2873 0.7127 0.5000
0.3121 0.6879 0.1547
0.3121 0.6879 0.8453
0.6879 0.3121 0.1547
0.6879 0.3121 0.8453
0.7127 0.2873 0.5000
0.7873 0.7873 0.0000
0.8121 0.8121 0.3453
0.8121 0.8121 0.6547
```